This record from the Alexandria database describes a relaxed structure of NdEr2WO8. The functional is PBE+U.

Structure (POSCAR):
```
NdEr2WO8
1.0
3.535 -3.567 0.000
3.535 3.567 0.000
0.000 0.000 6.954
Nd Er W O
1 2 1 8
Direct
0.000 0.000 0.000 Nd
0.500 0.500 0.259 Er
0.500 0.500 0.741 Er
0.000 0.000 0.500 W
0.186 0.814 0.294 O
0.186 0.814 0.706 O
0.279 0.279 0.500 O
0.320 0.320 0.000 O
0.680 0.680 0.000 O
0.721 0.721 0.500 O
0.814 0.186 0.294 O
0.814 0.186 0.706 O
```

Volume, Å³ per cell: 175
VASP energy, eV/f.u.: -94.82